[1]
Computed, not measured: a relaxed structure of Os2AuCl at the PBE level of DFT.

For the calculated volume, the calculation gives 15.4 A^3/atom. The calculated density is 16.5 g/cm3. For the uncorrected formation energy, the calculation gives 0.961 eV per atom.

Cell: 8.8973 8.8973 8.8973 Å, 18.46 18.46 18.46°
With the nearest neighbours (Å) after each atom.
Fractional positions:
Au: 0.2500 0.2500 0.2500  6 Os 2.83, 6 Au 2.85
Os: 0.0045 0.0045 0.0045  3 Cl 2.64, 3 Au 2.83, 6 Os 2.85
Cl: 0.7500 0.7500 0.7500  6 Os 2.64, 6 Cl 2.85
Os: 0.4955 0.4955 0.4955  3 Cl 2.64, 3 Au 2.83, 6 Os 2.85

---

[2]
Computed, not measured: a relaxed structure of ZrGa3Ag at the PBE level of DFT.

For the energy relative to the elements, the calculation gives 3.40 eV per formula unit. For the calculated volume, the calculation gives 28.1 A^3/atom. The calculated density is 4.8 g/cm3.

Cell: 5.2017 5.2017 5.2017 Å, 90.00 90.00 90.00°
With the nearest neighbours (Å) after each atom.
Fractional positions:
Ga: 0.0000 0.5000 0.0000  2 Zr 2.60
Ga: 0.0000 0.0000 0.5000  2 Zr 2.60
Ag: 0.5000 0.5000 0.5000  12 Ga 3.68
Zr: 0.0000 0.0000 0.0000  6 Ga 2.60
Ga: 0.5000 0.0000 0.0000  2 Zr 2.60

---

[3]
Computed, not measured: a relaxed structure of LiTlSbO2 at the PBE level of DFT.

For the calculated volume, the calculation gives 19.8 A^3/atom. The calculated density is 6.1 g/cm3. For the uncorrected formation energy, the calculation gives 0.193 eV per atom.

Cell: 4.2783 4.2783 5.4004 Å, 90.00 90.00 90.00°
With the nearest neighbours (Å) after each atom.
Fractional positions:
Sb: 0.5000 0.5000 0.5000  4 Li 3.03
O: 0.5000 0.0000 0.0000  2 Tl 2.14
Li: 0.0000 0.0000 0.5000  2 Tl 2.70
O: 0.0000 0.5000 0.0000  2 Tl 2.14
Tl: 0.0000 0.0000 0.0000  4 O 2.14

---

[4]
Computed, not measured: a relaxed structure of YRe2F2 at the PBE level of DFT.

For the calculated volume, the calculation gives 16.1 A^3/atom. The calculated density is 10.3 g/cm3. For the uncorrected formation energy, the calculation gives -0.210 eV per atom.

Cell: 7.6466 7.6466 2.7582 Å, 90.00 90.00 90.00°
With the nearest neighbours (Å) after each atom.
Fractional positions:
Re: 0.1110 0.6110 0.5000  2 F 2.15, 1 Re 2.40
F: 0.2361 0.2639 0.0000  2 Re 2.15
Y: 0.5000 0.5000 0.0000  4 F 2.71, 2 Y 2.76
Y: 0.0000 0.0000 0.0000  4 F 2.71, 2 Y 2.76
Re: 0.6110 0.8890 0.5000  2 F 2.15, 1 Re 2.40
F: 0.2639 0.7639 0.0000  2 Re 2.15
Re: 0.3890 0.1110 0.5000  2 F 2.15, 1 Re 2.40
Re: 0.8890 0.3890 0.5000  2 F 2.15, 1 Re 2.40
F: 0.7639 0.7361 0.0000  2 Re 2.15
F: 0.7361 0.2361 0.0000  2 Re 2.15

---

[5]
Computed, not measured: a relaxed structure of GePt6Rh at the PBE level of DFT.

For the energy relative to the elements, the calculation gives -0.94 eV per formula unit. For the calculated volume, the calculation gives 15.5 A^3/atom. The calculated density is 18.0 g/cm3.

Cell: 4.7470 4.7470 6.4383 Å, 104.33 104.33 109.18°
With the nearest neighbours (Å) after each atom.
Fractional positions:
Ge: 0.5000 0.5000 0.0000  2 Rh 2.75, 10 Pt 2.76-2.97
Pt: 0.6216 0.1216 0.2432  8 Pt 2.75-2.99, 2 Rh 2.76, 2 Ge 2.76
Pt: 0.8783 0.3784 0.7568  8 Pt 2.75-2.99, 2 Ge 2.76, 2 Rh 2.76
Pt: 0.3784 0.8784 0.7568  8 Pt 2.75-2.99, 2 Rh 2.76, 2 Ge 2.76
Pt: 0.1217 0.6216 0.2432  8 Pt 2.75-2.99, 2 Ge 2.76, 2 Rh 2.76
Pt: 0.2451 0.2451 0.4902  10 Pt 2.75-2.84, 1 Rh 2.85, 1 Ge 2.97
Pt: 0.7549 0.7549 0.5098  10 Pt 2.75-2.84, 1 Rh 2.85, 1 Ge 2.97
Rh: 0.0000 0.0000 0.0000  2 Ge 2.75, 10 Pt 2.76-2.85

---

[6]
Computed, not measured: a relaxed structure of InNiMo at the PBE level of DFT.

For the energy relative to the elements, the calculation gives 0.35 eV per formula unit. For the calculated volume, the calculation gives 15.8 A^3/atom. The calculated density is 9.5 g/cm3.

Cell: 5.9118 5.9120 2.9235 Å, 75.68 75.69 28.63°
With the nearest neighbours (Å) after each atom.
Fractional positions:
Mo: 0.6865 0.6865 0.3135  4 Ni 2.56
Ni: 0.3233 0.3233 0.6767  4 Mo 2.56, 4 In 2.77
In: 0.9902 0.9902 0.0098  4 Ni 2.77, 4 In 2.92, 4 Mo 3.00

---

[7]
Computed, not measured: a relaxed structure of CaPt2Se at the PBE level of DFT.

For the calculated volume, the calculation gives 19.9 A^3/atom. The calculated density is 10.6 g/cm3. For the uncorrected formation energy, the calculation gives -0.104 eV per atom.

Cell: 8.5693 8.5693 8.5693 Å, 22.34 22.34 22.34°
With the nearest neighbours (Å) after each atom.
Fractional positions:
Se: 0.2500 0.2500 0.2500  6 Pt 2.68
Pt: 0.5086 0.5086 0.5086  3 Se 2.68, 3 Ca 3.00
Ca: 0.7500 0.7500 0.7500  6 Pt 3.00, 6 Ca 3.32
Pt: 0.9914 0.9914 0.9914  3 Se 2.68, 3 Ca 3.00

---

[8]
Computed, not measured: a relaxed structure of HfCo4Ir at the PBE level of DFT.

For the energy relative to the elements, the calculation gives -1.76 eV per formula unit. For the calculated volume, the calculation gives 12.9 A^3/atom. The calculated density is 13.0 g/cm3.

Cell: 4.7839 4.7839 4.7839 Å, 60.00 60.00 60.00°
With the nearest neighbours (Å) after each atom.
Fractional positions:
Co: 0.6256 0.1231 0.6256  6 Co 2.38-2.40
Co: 0.6256 0.6256 0.6256  6 Co 2.38-2.40
Ir: 0.0000 0.0000 0.0000  12 Co 2.80, 4 Hf 2.93
Co: 0.6256 0.6256 0.1231  6 Co 2.38-2.40
Co: 0.1231 0.6256 0.6256  6 Co 2.38-2.40
Hf: 0.2500 0.2500 0.2500  12 Co 2.81, 4 Ir 2.93